The following is a DFT calculation (PBE with a Hubbard U) of a geometry-optimized TlCrH2F structure.

E: -0.13679 hartree per atom
M_tot: 1.018 μB per atom
space-group type: No. 123

Unit cell a=3.824 b=3.824 c=5.365 alpha=90.00 beta=90.00 gamma=90.00
Sites, in units of the cell vectors:
Tl (0.000, 0.000, 0.000)
Cr (0.500, 0.500, 0.500)
H (0.000, 0.500, 0.000)
H (0.500, 0.000, 0.000)
F (0.000, 0.000, 0.500)